[1]
! CeTh3Au (PBE, relaxed); values from VASP
! * crystal system: monoclinic
! * VASP energy: -64.12 eV for the cell shown
! * ΔH_f (0 K): -0.118 eV/atom
&SYSTEM
  ibrav = 0, nat = 10, ntyp = 3
/
ATOMIC_SPECIES
Ce 140.12 Ce.upf
Th 232.04 Th.upf
Au 196.97 Au.upf
ATOMIC_POSITIONS crystal
Ce 0.052 0.052 0.145
Ce 0.948 0.948 0.855
Th 0.130 0.130 0.631
Th 0.354 0.354 0.036
Th 0.433 0.433 0.657
Th 0.567 0.567 0.343
Th 0.646 0.646 0.964
Th 0.870 0.870 0.369
Au 0.272 0.272 0.354
Au 0.728 0.728 0.646
CELL_PARAMETERS angstrom
6.011 -2.807 0.000
6.011 2.807 0.000
-1.237 0.000 8.785

***

[2]
! K2Mn3Te6 (PBE, relaxed); values from VASP
! * crystal system: monoclinic
! * VASP energy: -53.22 eV for the cell shown
! * formation energy without anion corrections: -0.425 eV per atom
&SYSTEM
  ibrav = 0, nat = 11, ntyp = 3
/
ATOMIC_SPECIES
K 39.10 K.upf
Mn 54.94 Mn.upf
Te 127.60 Te.upf
ATOMIC_POSITIONS crystal
K 0.166 0.834 0.000
K 0.834 0.166 0.000
Mn 0.000 0.000 0.500
Mn 0.332 0.668 0.500
Mn 0.668 0.332 0.500
Te 0.061 0.394 0.680
Te 0.274 0.274 0.320
Te 0.394 0.061 0.680
Te 0.606 0.939 0.320
Te 0.726 0.726 0.680
Te 0.939 0.606 0.320
CELL_PARAMETERS angstrom
3.453 -5.983 0.000
3.453 5.983 0.000
-2.309 0.000 8.535

***

[3]
! RbSrOF (PBE, relaxed); values from VASP
! * crystal system: trigonal
! * VASP energy: -38.95 eV for the cell shown
! * formation energy without anion corrections: -2.499 eV per atom
&SYSTEM
  ibrav = 0, nat = 8, ntyp = 4
/
ATOMIC_SPECIES
Rb 85.47 Rb.upf
Sr 87.62 Sr.upf
O 16.00 O.upf
F 19.00 F.upf
ATOMIC_POSITIONS crystal
Rb 0.210 0.210 0.210
Rb 0.790 0.790 0.790
Sr 0.369 0.369 0.369
Sr 0.631 0.631 0.631
O 0.300 0.300 0.300
O 0.700 0.700 0.700
F 0.122 0.122 0.122
F 0.878 0.878 0.878
CELL_PARAMETERS angstrom
2.204 1.272 11.542
-2.204 1.272 11.542
0.000 -2.545 11.542

***

[4]
! ThGa4Cu2Au (PBE, relaxed); values from VASP
! * crystal system: trigonal
! * VASP energy: -33.14 eV for the cell shown
! * ΔH_f (0 K): -0.267 eV/atom
&SYSTEM
  ibrav = 0, nat = 8, ntyp = 4
/
ATOMIC_SPECIES
Th 232.04 Th.upf
Ga 69.72 Ga.upf
Cu 63.55 Cu.upf
Au 196.97 Au.upf
ATOMIC_POSITIONS crystal
Th 0.000 0.000 0.000
Ga 0.121 0.121 0.121
Ga 0.400 0.400 0.400
Ga 0.600 0.600 0.600
Ga 0.879 0.879 0.879
Cu 0.254 0.254 0.254
Cu 0.746 0.746 0.746
Au 0.500 0.500 0.500
CELL_PARAMETERS angstrom
2.141 1.236 9.151
-2.141 1.236 9.151
0.000 -2.472 9.151